The following is a GGA-PBE calculation of Sm2YScSe6 after structural relaxation, from the Alexandria database.

```
Sm2YScSe6
1.0
7.203 0.000 0.000
3.602 6.238 0.000
3.601 2.079 6.409
Se Sc Y Sm
6 1 1 2
Direct
0.947 0.590 0.254
0.699 0.107 0.763
0.590 0.209 0.254
0.209 0.946 0.254
0.107 0.431 0.763
0.431 0.699 0.763
0.322 0.322 0.035
0.819 0.819 0.542
0.520 0.520 0.441
0.018 0.018 0.946
```

The raw formation energy is -1796 meV per atom. Its total energy is -6.11 eV/atom. Its space-group type is R3.